Record 1
# Mg2VIr

A relaxed structure of Mg2VIr (PBE, the Alexandria database).

```
data_Mg2VIr
_chemical_formula_sum 'Mg2 V1 Ir1'
_space_group_name_H-M_alt 'P 1'
_space_group_IT_number 1
_cell_length_a 4.5324
_cell_length_b 4.5324
_cell_length_c 4.5324
_cell_angle_alpha 60.00
_cell_angle_beta 60.00
_cell_angle_gamma 60.00
loop_
_space_group_symop_operation_xyz
'x,y,z'
loop_
_atom_site_label
_atom_site_type_symbol
_atom_site_fract_x
_atom_site_fract_y
_atom_site_fract_z
Mg1 Mg 0.2500 0.2500 0.2500
Mg2 Mg 0.7500 0.7500 0.7500
V1 V 0.0000 0.0000 0.0000
Ir1 Ir 0.5000 0.5000 0.5000
```

## Properties
Energy of formation from the pure elements, eV per atom: 0.076
Space-group type: Fm-3m (225)

---

Record 2
# Hf2As2Rh

A relaxed structure of Hf2As2Rh (PBE, the Alexandria database).

```
data_Hf2As2Rh
_chemical_formula_sum 'Hf4 As4 Rh2'
_space_group_name_H-M_alt 'P 1'
_space_group_IT_number 1
_cell_length_a 6.9986
_cell_length_b 6.9986
_cell_length_c 3.6258
_cell_angle_alpha 90.00
_cell_angle_beta 90.00
_cell_angle_gamma 90.00
loop_
_space_group_symop_operation_xyz
'x,y,z'
loop_
_atom_site_label
_atom_site_type_symbol
_atom_site_fract_x
_atom_site_fract_y
_atom_site_fract_z
Hf1 Hf 0.1576 0.3424 0.0000
Hf2 Hf 0.3424 0.8424 0.0000
Hf3 Hf 0.6576 0.1576 0.0000
Hf4 Hf 0.8424 0.6576 0.0000
As1 As 0.1487 0.6487 0.5000
As2 As 0.3513 0.1487 0.5000
As3 As 0.6487 0.8513 0.5000
As4 As 0.8513 0.3513 0.5000
Rh1 Rh 0.0000 0.0000 0.5000
Rh2 Rh 0.5000 0.5000 0.5000
```

## Properties
Energy of formation from the pure elements, eV per atom: -0.712
Space-group type: P4/mbm (127)

---

Record 3
# TcSbCl2

A relaxed structure of TcSbCl2 (PBE, the Alexandria database).

```
data_TcSbCl2
_chemical_formula_sum 'Tc1 Sb1 Cl2'
_space_group_name_H-M_alt 'P 1'
_space_group_IT_number 1
_cell_length_a 3.2819
_cell_length_b 3.2819
_cell_length_c 11.9919
_cell_angle_alpha 90.00
_cell_angle_beta 90.00
_cell_angle_gamma 125.32
loop_
_space_group_symop_operation_xyz
'x,y,z'
loop_
_atom_site_label
_atom_site_type_symbol
_atom_site_fract_x
_atom_site_fract_y
_atom_site_fract_z
Tc1 Tc 0.0000 0.0000 0.0000
Sb1 Sb 0.0000 0.0000 0.5000
Cl1 Cl 0.5000 0.5000 0.1549
Cl2 Cl 0.5000 0.5000 0.8451
```

## Properties
Excess energy over the best structure of this formula in the dataset, meV per atom: 336
Space-group type: Cmmm (65)

---

Record 4
# YZr2Ti

A relaxed structure of YZr2Ti (PBE, the Alexandria database).

```
data_YZr2Ti
_chemical_formula_sum 'Y1 Zr2 Ti1'
_space_group_name_H-M_alt 'P 1'
_space_group_IT_number 1
_cell_length_a 3.6391
_cell_length_b 3.6391
_cell_length_c 7.1574
_cell_angle_alpha 90.00
_cell_angle_beta 90.00
_cell_angle_gamma 90.00
loop_
_space_group_symop_operation_xyz
'x,y,z'
loop_
_atom_site_label
_atom_site_type_symbol
_atom_site_fract_x
_atom_site_fract_y
_atom_site_fract_z
Y1 Y 0.0000 0.0000 0.0000
Zr1 Zr 0.5000 0.5000 0.2975
Zr2 Zr 0.5000 0.5000 0.7025
Ti1 Ti 0.0000 0.0000 0.5000
```

## Properties
Energy of formation from the pure elements, eV per atom: 0.129
Excess energy over the best structure of this formula in the dataset, meV per atom: 0
Space-group type: P4/mmm (123)

---

Record 5
# SnS

A relaxed structure of SnS (PBE, the Alexandria database).

```
data_SnS
_chemical_formula_sum 'Sn4 S4'
_space_group_name_H-M_alt 'P 1'
_space_group_IT_number 1
_cell_length_a 7.3998
_cell_length_b 6.9949
_cell_length_c 5.9460
_cell_angle_alpha 69.21
_cell_angle_beta 62.10
_cell_angle_gamma 48.70
loop_
_space_group_symop_operation_xyz
'x,y,z'
loop_
_atom_site_label
_atom_site_type_symbol
_atom_site_fract_x
_atom_site_fract_y
_atom_site_fract_z
Sn1 Sn 0.1255 0.6245 0.6245
Sn2 Sn 0.3755 0.8745 0.8745
Sn3 Sn 0.6245 0.1255 0.1255
Sn4 Sn 0.8745 0.3755 0.3755
S1 S 0.0832 0.6668 0.0832
S2 S 0.3332 0.9168 0.3332
S3 S 0.6668 0.0832 0.6668
S4 S 0.9168 0.3332 0.9168
```

## Properties
Space-group type: Fddd (70)

---

Record 6
# Cs3Pb2F9

A relaxed structure of Cs3Pb2F9 (PBE, the Alexandria database).

```
data_Cs3Pb2F9
_chemical_formula_sum 'Cs3 Pb2 F9'
_space_group_name_H-M_alt 'P 1'
_space_group_IT_number 1
_cell_length_a 6.7416
_cell_length_b 6.7416
_cell_length_c 8.4472
_cell_angle_alpha 90.00
_cell_angle_beta 90.00
_cell_angle_gamma 120.00
loop_
_space_group_symop_operation_xyz
'x,y,z'
loop_
_atom_site_label
_atom_site_type_symbol
_atom_site_fract_x
_atom_site_fract_y
_atom_site_fract_z
Cs1 Cs 0.0000 0.0000 0.0000
Cs2 Cs 0.3333 0.6667 0.3730
Cs3 Cs 0.6667 0.3333 0.6270
Pb1 Pb 0.3333 0.6667 0.8451
Pb2 Pb 0.6667 0.3333 0.1549
F1 F 0.0000 0.5000 0.0000
F2 F 0.1820 0.3641 0.6956
F3 F 0.1820 0.8180 0.6956
F4 F 0.3641 0.1820 0.3044
F5 F 0.5000 0.0000 0.0000
F6 F 0.5000 0.5000 0.0000
F7 F 0.6359 0.8180 0.6956
F8 F 0.8180 0.1820 0.3044
F9 F 0.8180 0.6359 0.3044
```

## Properties
Space-group type: P-3m1 (164)

---

Record 7
# Sm2Be15Co2

A relaxed structure of Sm2Be15Co2 (PBE, the Alexandria database).

```
data_Sm2Be15Co2
_chemical_formula_sum 'Sm2 Be15 Co2'
_space_group_name_H-M_alt 'P 1'
_space_group_IT_number 1
_cell_length_a 5.9255
_cell_length_b 5.9255
_cell_length_c 5.9255
_cell_angle_alpha 83.30
_cell_angle_beta 83.30
_cell_angle_gamma 83.30
loop_
_space_group_symop_operation_xyz
'x,y,z'
loop_
_atom_site_label
_atom_site_type_symbol
_atom_site_fract_x
_atom_site_fract_y
_atom_site_fract_z
Sm1 Sm 0.1568 0.1568 0.1568
Sm2 Sm 0.8432 0.8432 0.8432
Be1 Be 0.0000 0.5000 0.5000
Be2 Be 0.1698 0.1698 0.6454
Be3 Be 0.1698 0.6454 0.1698
Be4 Be 0.2295 0.5000 0.7705
Be5 Be 0.2295 0.7705 0.5000
Be6 Be 0.3546 0.8302 0.8302
Be7 Be 0.5000 0.0000 0.5000
Be8 Be 0.5000 0.2295 0.7705
Be9 Be 0.5000 0.5000 0.0000
Be10 Be 0.5000 0.7705 0.2295
Be11 Be 0.6454 0.1698 0.1698
Be12 Be 0.7705 0.2295 0.5000
Be13 Be 0.7705 0.5000 0.2295
Be14 Be 0.8302 0.3546 0.8302
Be15 Be 0.8302 0.8302 0.3546
Co1 Co 0.3997 0.3997 0.3997
Co2 Co 0.6003 0.6003 0.6003
```

## Properties
Energy of formation from the pure elements, eV per atom: -0.141
Space-group type: R-3m (166)

---

Record 8
# AcEr2SbO8

A relaxed structure of AcEr2SbO8 (PBE, the Alexandria database).

```
data_AcEr2SbO8
_chemical_formula_sum 'Ac1 Er2 Sb1 O8'
_space_group_name_H-M_alt 'P 1'
_space_group_IT_number 1
_cell_length_a 5.0190
_cell_length_b 5.0190
_cell_length_c 7.2669
_cell_angle_alpha 90.00
_cell_angle_beta 90.00
_cell_angle_gamma 90.46
loop_
_space_group_symop_operation_xyz
'x,y,z'
loop_
_atom_site_label
_atom_site_type_symbol
_atom_site_fract_x
_atom_site_fract_y
_atom_site_fract_z
Ac1 Ac 0.0000 0.0000 0.0000
Er1 Er 0.5000 0.5000 0.2679
Er2 Er 0.5000 0.5000 0.7321
Sb1 Sb 0.0000 0.0000 0.5000
O1 O 0.1898 0.8102 0.2958
O2 O 0.1898 0.8102 0.7042
O3 O 0.2861 0.2861 0.5000
O4 O 0.3328 0.3328 0.0000
O5 O 0.6672 0.6672 0.0000
O6 O 0.7139 0.7139 0.5000
O7 O 0.8102 0.1898 0.2958
O8 O 0.8102 0.1898 0.7042
```

## Properties
Space-group type: Cmmm (65)

---

Record 9
# MoPSe4

A relaxed structure of MoPSe4 (PBE, the Alexandria database).

```
data_MoPSe4
_chemical_formula_sum 'Mo1 P1 Se4'
_space_group_name_H-M_alt 'P 1'
_space_group_IT_number 1
_cell_length_a 5.5724
_cell_length_b 5.5724
_cell_length_c 5.5724
_cell_angle_alpha 60.00
_cell_angle_beta 60.00
_cell_angle_gamma 60.00
loop_
_space_group_symop_operation_xyz
'x,y,z'
loop_
_atom_site_label
_atom_site_type_symbol
_atom_site_fract_x
_atom_site_fract_y
_atom_site_fract_z
Mo1 Mo 0.0000 0.0000 0.0000
P1 P 0.7500 0.7500 0.7500
Se1 Se 0.3742 0.3742 0.3742
Se2 Se 0.3742 0.3742 0.8775
Se3 Se 0.3742 0.8775 0.3742
Se4 Se 0.8775 0.3742 0.3742
```

## Properties
Space-group type: F-43m (216)

---

Record 10
# Pr2MgSn4Pd3

A relaxed structure of Pr2MgSn4Pd3 (PBE, the Alexandria database).

```
data_Pr2MgSn4Pd3
_chemical_formula_sum 'Pr2 Mg1 Sn4 Pd3'
_space_group_name_H-M_alt 'P 1'
_space_group_IT_number 1
_cell_length_a 4.4689
_cell_length_b 4.4689
_cell_length_c 11.6790
_cell_angle_alpha 90.00
_cell_angle_beta 90.00
_cell_angle_gamma 90.00
loop_
_space_group_symop_operation_xyz
'x,y,z'
loop_
_atom_site_label
_atom_site_type_symbol
_atom_site_fract_x
_atom_site_fract_y
_atom_site_fract_z
Pr1 Pr 0.0000 0.5000 0.2475
Pr2 Pr 0.5000 0.0000 0.7525
Mg1 Mg 0.0000 0.0000 0.5000
Sn1 Sn 0.0000 0.0000 0.0000
Sn2 Sn 0.0000 0.5000 0.6443
Sn3 Sn 0.5000 0.0000 0.3557
Sn4 Sn 0.5000 0.5000 0.0000
Pd1 Pd 0.0000 0.5000 0.8689
Pd2 Pd 0.5000 0.0000 0.1311
Pd3 Pd 0.5000 0.5000 0.5000
```

## Properties
Energy of formation from the pure elements, eV per atom: -0.718
Space-group type: P-4m2 (115)

---

Record 11
# RbOsS2O8

A relaxed structure of RbOsS2O8 (PBE, the Alexandria database).

```
data_RbOsS2O8
_chemical_formula_sum 'Rb1 Os1 S2 O8'
_space_group_name_H-M_alt 'P 1'
_space_group_IT_number 1
_cell_length_a 9.0732
_cell_length_b 9.0732
_cell_length_c 9.0732
_cell_angle_alpha 31.09
_cell_angle_beta 31.09
_cell_angle_gamma 31.09
loop_
_space_group_symop_operation_xyz
'x,y,z'
loop_
_atom_site_label
_atom_site_type_symbol
_atom_site_fract_x
_atom_site_fract_y
_atom_site_fract_z
Rb1 Rb 0.0000 0.0000 0.0000
Os1 Os 0.5000 0.5000 0.5000
S1 S 0.2337 0.2337 0.2337
S2 S 0.7663 0.7663 0.7663
O1 O 0.0891 0.5033 0.7635
O2 O 0.2365 0.9109 0.4967
O3 O 0.2902 0.2902 0.2902
O4 O 0.4967 0.2365 0.9109
O5 O 0.5033 0.7635 0.0891
O6 O 0.7098 0.7098 0.7098
O7 O 0.7635 0.0891 0.5033
O8 O 0.9109 0.4967 0.2365
```

## Properties
Space-group type: R-3 (148)

---

Record 12
# RbMgAlCu2

A relaxed structure of RbMgAlCu2 (PBE, the Alexandria database).

```
data_RbMgAlCu2
_chemical_formula_sum 'Rb1 Mg1 Al1 Cu2'
_space_group_name_H-M_alt 'P 1'
_space_group_IT_number 1
_cell_length_a 5.6507
_cell_length_b 5.6507
_cell_length_c 6.3058
_cell_angle_alpha 90.00
_cell_angle_beta 90.00
_cell_angle_gamma 90.00
loop_
_space_group_symop_operation_xyz
'x,y,z'
loop_
_atom_site_label
_atom_site_type_symbol
_atom_site_fract_x
_atom_site_fract_y
_atom_site_fract_z
Rb1 Rb 0.0000 0.0000 0.0000
Mg1 Mg 0.0000 0.0000 0.5000
Al1 Al 0.5000 0.5000 0.5000
Cu1 Cu 0.0000 0.5000 0.0000
Cu2 Cu 0.5000 0.0000 0.0000
```

## Properties
Energy of formation from the pure elements, eV per atom: 1.565
Space-group type: P4/mmm (123)

---

Summary of electronic total energy in eV/atom
-5.2165 -8.0234 -4.4334 -7.7352 -4.4694 -4.3345 -4.3274 -7.2428 -3.8407 -4.9925 -6.2467 -1.3348
(order as listed above)
Summary of magnetic moment in μB/cell
3.608 0.000 1.246 0.000 0.000 0.000 0.001 1.190 2.643 0.000 1.009 0.000
(order as listed above)